Record 1
DFT (GGA-PBE) results for crystalline ScGaW at its relaxed geometry.

The value obtained for the total DFT energy (no corrections) is -7.710 eV/atom. The space group is P4/nmm, No. 129. The value obtained for the energy of formation from the pure elements is -0.272 eV per atom. For the total magnetization, the calculation gives 0.5 μB per formula unit.

Unit cell a=3.836 b=3.836 c=7.471 alpha=90.00 beta=90.00 gamma=90.00
Fractional positions:
Sc 0.250 0.250 0.151
Sc 0.750 0.750 0.849
Ga 0.250 0.250 0.761
Ga 0.750 0.750 0.239
W 0.250 0.750 0.500
W 0.750 0.250 0.500

---

Record 2
DFT (GGA-PBE) results for crystalline Y2ScGa6 at its relaxed geometry.

The value obtained for the total DFT energy (no corrections) is -4.755 eV/atom. The space group is P6/mmm, No. 191. The value obtained for the energy of formation from the pure elements is -0.597 eV per atom. For the total magnetization, the calculation gives 0.0 μB per formula unit.

Unit cell a=7.440 b=7.440 c=3.736 alpha=90.00 beta=90.00 gamma=120.00
Fractional positions:
Y 0.333 0.667 0.000
Y 0.667 0.333 0.000
Sc 0.000 0.000 0.000
Ga 0.000 0.330 0.500
Ga 0.000 0.670 0.500
Ga 0.330 0.000 0.500
Ga 0.330 0.330 0.500
Ga 0.670 0.000 0.500
Ga 0.670 0.670 0.500

---

Which formula does entry 1 have?
ScGaW